# MnTlVF6

Crystalline MnTlVF6 at its relaxed geometry (PBE+U, Alexandria).

```
data_MnTlVF6
_cell_length_a 5.5921
_cell_length_b 9.6542
_cell_length_c 5.9983
_cell_angle_alpha 90.00
_cell_angle_beta 90.03
_cell_angle_gamma 90.00
_space_group_name_H-M_alt 'C 1 2 1'
_space_group_IT_number 5
_space_group_name_Hall 'C 2y'
loop_
_atom_site_label
_atom_site_fract_x
_atom_site_fract_y
_atom_site_fract_z
Mn1 0.0000 0.0000 0.0000
Tl1 0.0000 0.6669 0.5000
V1 0.0000 0.3337 0.0000
F1 0.1261 0.1781 0.1830
F2 0.1704 0.4744 0.1828
F3 0.2044 0.8485 0.1833
```

Its calculated total energy is -103.782 eV for the cell shown. As for the spin magnetization: 7.0 μB per formula unit.